Here is a relaxed structure of MnPNO2 from the Alexandria database. Energies are from PBE+U.

Cell: 3.913 3.913 3.582 Å, 90.00 90.00 90.00°
Sites, in units of the cell vectors:
Mn  0.000  0.000  0.000
P  0.500  0.500  0.000
N  0.500  0.500  0.500
O  0.000  0.500  0.500
O  0.500  0.000  0.500

Values from the calculation:
Space-group type: No. 123
VASP energy, eV/atom: -5.491